Entry from Alexandria via LeMat-Bulk: a relaxed structure of Zr3InS (GGA-PBE).

The structure in POSCAR format:
```
Zr3InS
1.0
4.841 0.000 0.000
0.000 4.841 0.000
0.000 0.000 4.841
Zr In S
3 1 1
direct
0.000 0.000 0.500
0.000 0.500 0.000
0.500 0.000 0.000
0.500 0.500 0.500
0.000 0.000 0.000
```

Summary:
E_tot ... -7.031 eV per atom
Magnetic moment ... 0.000 Bohr magnetons per cell
Energy relative to the elements, uncorrected ... -529 meV per atom
Energy above the lowest structure with this stoichiometry ... 283 meV per atom